Record 1
Below is crystalline PrTePt at its relaxed geometry, with properties calculated at the PBE-GGA level.

Calculated values
uncorrected formation energy	-809.1	meV/atom

Cell lengths 4.6190, 8.9069, 8.9069 Å; angles 90.00, 90.00, 90.00 degrees
Atoms (fractional coordinates):
Pt 0.5000 0.8234 0.2912
Pt 0.5000 0.1766 0.7088
Pt 0.0000 0.2912 0.1766
Pt 0.0000 0.7088 0.8234
Pr 0.5000 0.7942 0.6110
Pr 0.0000 0.3890 0.7942
Pr 0.0000 0.6110 0.2058
Pr 0.5000 0.2058 0.3890
Te 0.5000 0.2792 0.0210
Te 0.0000 0.9790 0.2792
Te 0.0000 0.0210 0.7208
Te 0.5000 0.7208 0.9790


Record 2
Below is crystalline Pr5Te4Pt at its relaxed geometry, with properties calculated at the PBE-GGA level.

Calculated values
uncorrected formation energy	-1344.4	meV/atom

Cell lengths 4.4698, 4.4698, 16.2895 Å; angles 97.89, 97.89, 90.00 degrees
Atoms (fractional coordinates):
Pr 0.0882 0.0882 0.1764
Pr 0.5000 0.5000 0.0000
Pr 0.9118 0.9118 0.8236
Pr 0.2927 0.2927 0.5854
Pr 0.7073 0.7073 0.4146
Te 0.3966 0.3966 0.7932
Te 0.8083 0.8083 0.6166
Te 0.1917 0.1917 0.3834
Te 0.6034 0.6034 0.2068
Pt 0.0000 0.0000 0.0000


Record 3
Below is crystalline Pr7Te2Pt2 at its relaxed geometry, with properties calculated at the PBE-GGA level.

Calculated values
uncorrected formation energy	-954.5	meV/atom

Cell lengths 4.0945, 9.9078, 9.9078 Å; angles 60.81, 78.08, 78.08 degrees
Atoms (fractional coordinates):
Pr 0.8182 0.0837 0.2799
Pr 0.8557 0.4022 0.8865
Pr 0.5000 0.0202 0.9798
Pr 0.6276 0.4764 0.2685
Pr 0.3724 0.7315 0.5236
Pr 0.1818 0.7201 0.9163
Pr 0.1443 0.1135 0.5978
Te 0.0000 0.7592 0.2408
Te 0.5000 0.3541 0.6459
Pt 0.7383 0.8581 0.6653
Pt 0.2617 0.3347 0.1419


Record 4
Below is crystalline Pr2TePt at its relaxed geometry, with properties calculated at the PBE-GGA level.

Calculated values
uncorrected formation energy	-1248.0	meV/atom
ΔE to the lowest computed polymorph	0	meV per atom

Cell lengths 4.2787, 4.2787, 15.4341 Å; angles 90.00, 90.00, 120.00 degrees
Atoms (fractional coordinates):
Pr 0.3333 0.6667 0.3934
Pr 0.6667 0.3333 0.8934
Pr 0.6667 0.3333 0.6066
Pr 0.3333 0.6667 0.1066
Te 0.6667 0.3333 0.2500
Te 0.3333 0.6667 0.7500
Pt 0.0000 0.0000 0.5000
Pt 0.0000 0.0000 0.0000


Record 5
Below is crystalline Pr2TePt at its relaxed geometry, with properties calculated at the PBE-GGA level.

Calculated values
uncorrected formation energy	-1081.1	meV/atom
ΔE to the lowest computed polymorph	167	meV per atom

Cell lengths 3.7930, 3.7930, 7.5275 Å; angles 90.00, 90.00, 90.00 degrees
Atoms (fractional coordinates):
Pr 0.0000 0.0000 0.7723
Pr 0.0000 0.0000 0.2277
Te 0.5000 0.5000 0.5000
Pt 0.5000 0.5000 0.0000


Record 6
Below is crystalline Pr5Te5Pt at its relaxed geometry, with properties calculated at the PBE-GGA level.

Calculated values
uncorrected formation energy	-1346.5	meV/atom

Cell lengths 6.3956, 7.8262, 8.9173 Å; angles 107.09, 90.00, 114.12 degrees
Atoms (fractional coordinates):
Pr 0.8487 0.6974 0.1547
Pr 0.8439 0.6879 0.6810
Pr 0.5000 0.0000 0.0000
Pr 0.1561 0.3121 0.3190
Pr 0.1513 0.3026 0.8453
Te 0.6804 0.3608 0.3318
Te 0.6650 0.3301 0.8270
Te 0.0000 0.0000 0.5000
Te 0.3350 0.6699 0.1730
Te 0.3196 0.6392 0.6682
Pt 0.0000 0.0000 0.0000


Record 7
Below is crystalline PrTePt at its relaxed geometry, with properties calculated at the PBE-GGA level.

Calculated values
uncorrected formation energy	-1084.3	meV/atom

Cell lengths 4.2483, 4.5372, 4.5372 Å; angles 120.00, 90.00, 90.00 degrees
Atoms (fractional coordinates):
Pr 0.6447 0.3333 0.6667
Te 0.1232 0.0000 0.0000
Pt 0.2320 0.6667 0.3333


Record 8
Below is crystalline Pr2TePt at its relaxed geometry, with properties calculated at the PBE-GGA level.

Calculated values
uncorrected formation energy	-1235.2	meV/atom
ΔE to the lowest computed polymorph	13	meV per atom

Cell lengths 4.3129, 4.3129, 8.0507 Å; angles 74.46, 74.46, 60.00 degrees
Atoms (fractional coordinates):
Pr 0.0704 0.0704 0.7889
Pr 0.2632 0.2632 0.2104
Te 0.4998 0.4998 0.5007
Pt 0.6667 0.6667 0.0000


Record 9
Below is crystalline PrThPt2 at its relaxed geometry, with properties calculated at the PBE-GGA level.

Calculated values
formation energy from the elements	-1005	meV per atom
ΔE to the lowest computed polymorph	179	meV per atom

Cell lengths 5.1288, 5.1288, 5.1288 Å; angles 60.00, 60.00, 60.00 degrees
Atoms (fractional coordinates):
Pr 0.5000 0.5000 0.5000
Pt 0.2500 0.2500 0.2500
Pt 0.7500 0.7500 0.7500
Th 0.0000 0.0000 0.0000


Record 10
Below is crystalline PrThPt10 at its relaxed geometry, with properties calculated at the PBE-GGA level.

Calculated values
formation energy from the elements	-766	meV per atom

Cell lengths 4.4503, 5.4336, 9.3636 Å; angles 90.00, 90.00, 90.00 degrees
Atoms (fractional coordinates):
Pr 0.0000 0.0000 0.0000
Th 0.0000 0.5000 0.5000
Pt 0.0000 0.0000 0.3349
Pt 0.0000 0.5000 0.8305
Pt 0.0000 0.5000 0.1695
Pt 0.0000 0.0000 0.6651
Pt 0.5000 0.0000 0.5000
Pt 0.5000 0.5000 0.0000
Pt 0.5000 0.2522 0.2527
Pt 0.5000 0.7478 0.7473
Pt 0.5000 0.7478 0.2527
Pt 0.5000 0.2522 0.7473


Record 11
Below is crystalline Pr2Th2Pt5 at its relaxed geometry, with properties calculated at the PBE-GGA level.

Calculated values
formation energy from the elements	-1046	meV per atom

Cell lengths 7.8290, 7.8169, 8.4049 Å; angles 117.71, 90.00, 90.00 degrees
Atoms (fractional coordinates):
Pr 0.0000 0.1980 0.3961
Pr 0.5000 0.6980 0.3961
Pr 0.0000 0.8020 0.6039
Pr 0.5000 0.3020 0.6039
Th 0.6644 0.8354 0.0000
Th 0.3356 0.1646 0.0000
Th 0.1644 0.6646 0.0000
Th 0.8356 0.3354 0.0000
Pt 0.0000 0.0000 0.0000
Pt 0.5000 0.5000 0.0000
Pt 0.8607 0.7679 0.2579
Pt 0.1393 0.4899 0.2579
Pt 0.3607 0.9899 0.2579
Pt 0.6393 0.2679 0.2579
Pt 0.1393 0.2321 0.7421
Pt 0.8607 0.5101 0.7421
Pt 0.6393 0.0101 0.7421
Pt 0.3607 0.7321 0.7421


Record 12
Below is crystalline PrTh2Pt at its relaxed geometry, with properties calculated at the PBE-GGA level.

Calculated values
formation energy from the elements	-590	meV per atom
ΔE to the lowest computed polymorph	0	meV per atom

Cell lengths 3.8454, 6.3213, 10.1947 Å; angles 90.00, 90.00, 107.73 degrees
Atoms (fractional coordinates):
Pr 0.9184 0.8372 0.2500
Pr 0.0816 0.1628 0.7500
Th 0.3621 0.7252 0.5526
Th 0.6379 0.2748 0.4474
Th 0.3621 0.7252 0.9474
Th 0.6379 0.2748 0.0526
Pt 0.7901 0.5811 0.7500
Pt 0.2099 0.4189 0.2500


Record 13
Below is crystalline Pr2Th3Pt2 at its relaxed geometry, with properties calculated at the PBE-GGA level.

Calculated values
formation energy from the elements	-679	meV per atom

Cell lengths 3.9211, 6.3782, 9.3514 Å; angles 69.31, 77.90, 72.10 degrees
Atoms (fractional coordinates):
Pr 0.1603 0.4788 0.2006
Pr 0.8397 0.5212 0.7994
Th 0.5000 0.0000 0.0000
Th 0.3783 0.8024 0.4411
Th 0.6217 0.1976 0.5589
Pt 0.1406 0.9332 0.7855
Pt 0.8594 0.0668 0.2145


no.,volume (Å³/cell)
1,366
2,319
3,341
4,245
5,108
6,386
7,76
8,123
9,95
10,226
11,455
12,236
13,207